The following is a DFT calculation (PBE) of a relaxed structure of NbHgBiN2.

a = 4.361 Å, b = 4.361 Å, c = 5.708 Å
α = 90.00°, β = 90.00°, γ = 90.00°
Space group P4/mmm (No. 123)
Asymmetric unit:
1 Nb 0.000 0.000 0.000 (multiplicity 1)
2 Hg 0.500 0.500 0.000 (multiplicity 1)
3 Bi 0.000 0.000 0.500 (multiplicity 1)
4 N 0.000 0.500 0.500 (multiplicity 2)

- formation energy (no corrections) (eV/atom) = 2.021
- N(E_F) (states/eV per atom) = 0.978
- calculated total energy (hartree per atom) = -0.1529



The following is a DFT calculation (PBE) of a relaxed structure of Ac15LaDy4.

a = 5.511 Å, b = 5.511 Å, c = 27.462 Å
α = 90.00°, β = 90.00°, γ = 90.00°
Space group P4/mmm (No. 123)
Asymmetric unit:
1 Ac 0.000 0.000 0.000 (multiplicity 1)
2 Ac 0.000 0.000 0.202 (multiplicity 2)
3 Ac 0.000 0.000 0.401 (multiplicity 2)
4 Ac 0.000 0.500 0.102 (multiplicity 4)
5 Ac 0.000 0.500 0.301 (multiplicity 4)
6 Ac 0.000 0.500 0.500 (multiplicity 2)
7 La 0.500 0.500 0.000 (multiplicity 1)
8 Dy 0.500 0.500 0.202 (multiplicity 2)
9 Dy 0.500 0.500 0.400 (multiplicity 2)

- ΔH_f (0 K) (eV per atom) = 0.033
- N(E_F) (states/eV per atom) = 1.401
- calculated total energy (hartree per atom) = -0.1549



The following is a DFT calculation (PBE) of a relaxed structure of Ti2Al4Pt.

a = 4.793 Å, b = 4.793 Å, c = 12.941 Å
α = 90.00°, β = 90.00°, γ = 90.00°
Space group I4/mmm (No. 139)
Asymmetric unit:
1 Ti 0.000 0.000 0.101 (multiplicity 4)
2 Al 0.000 0.000 0.307 (multiplicity 4)
3 Al 0.000 0.500 0.000 (multiplicity 4)
4 Pt 0.000 0.000 0.500 (multiplicity 2)

- ΔH_f (0 K) (eV per atom) = 0.180
- N(E_F) (states/eV per atom) = 0.910
- calculated total energy (hartree per atom) = -0.1866



The following is a DFT calculation (PBE) of a relaxed structure of Be5Te4.

a = 7.3981 Å, b = 7.3981 Å, c = 7.4229 Å
α = 90.00°, β = 90.00°, γ = 120.00°
Space group P6_3/mcm (No. 193)
Asymmetric unit:
1 Be 0.0000 0.2358 0.2500 (multiplicity 6)
2 Be 0.3333 0.6667 0.0000 (multiplicity 4)
3 Te 0.0000 0.0000 0.0000 (multiplicity 2)
4 Te 0.0000 0.4421 0.7500 (multiplicity 6)

- formation energy (no corrections) (eV/atom) = 0.445
- N(E_F) (states/eV per atom) = 0.463
- calculated total energy (hartree per atom) = -0.1110



The following is a DFT calculation (PBE) of a relaxed structure of Nd2ZnSnPd6.

a = 5.561 Å, b = 6.533 Å, c = 6.688 Å
α = 86.34°, β = 65.47°, γ = 64.90°
Space group P-1 (No. 2)
Asymmetric unit:
1 Nd 0.246 0.255 0.254 (multiplicity 2)
2 Zn 0.500 0.500 0.500 (multiplicity 1)
3 Sn 0.000 0.000 0.000 (multiplicity 1)
4 Pd 0.198 0.311 0.801 (multiplicity 2)
5 Pd 0.255 0.928 0.562 (multiplicity 2)
6 Pd 0.309 0.689 0.199 (multiplicity 2)

- ΔH_f (0 K) (eV per atom) = -0.625
- N(E_F) (states/eV per atom) = 0.364
- calculated total energy (hartree per atom) = -0.1919



The following is a DFT calculation (PBE) of a relaxed structure of TbSi2Pt3.

a = 16.263 Å, b = 3.978 Å, c = 9.946 Å
α = 90.00°, β = 107.50°, γ = 90.00°
Space group C2/m (No. 12)
Asymmetric unit:
1 Tb 0.000 0.000 0.000 (multiplicity 2)
2 Tb 0.153 0.000 0.689 (multiplicity 4)
3 Si 0.037 0.500 0.777 (multiplicity 4)
4 Si 0.137 0.500 0.448 (multiplicity 4)
5 Si 0.201 0.000 0.133 (multiplicity 4)
6 Pt 0.000 0.500 0.500 (multiplicity 2)
7 Pt 0.039 0.000 0.327 (multiplicity 4)
8 Pt 0.122 0.500 0.194 (multiplicity 4)
9 Pt 0.175 0.500 0.952 (multiplicity 4)
10 Pt 0.225 0.000 0.389 (multiplicity 4)

- formation energy (no corrections) (eV/atom) = -1.051
- N(E_F) (states/eV per atom) = 0.466
- calculated total energy (hartree per atom) = -0.2444



The following is a DFT calculation (PBE) of a relaxed structure of Lu2CuPd.

a = 3.400 Å, b = 3.400 Å, c = 6.902 Å
α = 90.00°, β = 90.00°, γ = 90.00°
Space group P4/mmm (No. 123)
Asymmetric unit:
1 Lu 0.000 0.000 0.247 (multiplicity 2)
2 Cu 0.500 0.500 0.000 (multiplicity 1)
3 Pd 0.500 0.500 0.500 (multiplicity 1)

- ΔH_f (0 K) (eV per atom) = -0.640
- N(E_F) (states/eV per atom) = 0.454
- calculated total energy (hartree per atom) = -0.1919



The following is a DFT calculation (PBE) of a relaxed structure of CaCdGa2Ir.

a = 4.794 Å, b = 4.794 Å, c = 5.252 Å
α = 90.00°, β = 90.00°, γ = 90.00°
Space group P4/mmm (No. 123)
Asymmetric unit:
1 Ca 0.000 0.000 0.000 (multiplicity 1)
2 Cd 0.500 0.500 0.000 (multiplicity 1)
3 Ga 0.000 0.500 0.500 (multiplicity 2)
4 Ir 0.500 0.500 0.500 (multiplicity 1)

- ΔH_f (0 K) (eV per atom) = -0.265
- N(E_F) (states/eV per atom) = 0.685
- calculated total energy (hartree per atom) = -0.1408



Q: calculated total energy of number 1 (NbHgBiN2)?
A: -0.1529 hartree per atom



Q: Look up the calculated total energy of the seventh one.
A: -0.1919 hartree per atom



Q: N(E_F) of number 1 (NbHgBiN2)?
A: 0.978 states/eV per atom



Q: Look up the calculated total energy of the fourth one.
A: -0.1110 hartree per atom